Compound: OsNO2
Source: the Alexandria database
Functional: PBE
Structure: relaxed

- formation energy from raw total energies (eV/atom) = 1.01

Cell lengths 6.490, 6.490, 6.490 Å; angles 25.62, 25.62, 25.62 degrees
Each line ends with the local moment (μB).
Sites, in units of the cell vectors:
N  0.000  0.000  0.000  1.15
O  0.100  0.100  0.100  0.00
O  0.900  0.900  0.900  0.00
Os  0.500  0.500  0.500  -0.01

=====

Compound: OsN3O
Source: the Alexandria database
Functional: PBE
Structure: relaxed

- formation energy from raw total energies (eV/atom) = 1.63

Cell lengths 3.828, 3.828, 3.828 Å; angles 90.00, 90.00, 90.00 degrees
Each line ends with the local moment (μB).
Sites, in units of the cell vectors:
O  0.500  0.500  0.500  1.27
N  0.000  0.000  0.500  0.66
N  0.500  0.000  0.000  0.46
N  0.000  0.500  0.000  0.64
Os  0.000  0.000  0.000  -0.34

=====

Compound: OsNO3
Source: the Alexandria database
Functional: PBE
Structure: relaxed

- formation energy from raw total energies (eV/atom) = 0.40

Cell lengths 3.777, 3.777, 3.777 Å; angles 90.00, 90.00, 90.00 degrees
Each line ends with the local moment (μB).
Sites, in units of the cell vectors:
O  0.500  0.000  0.000  0.02
O  0.000  0.000  0.500  0.07
O  0.000  0.500  0.000  0.02
Os  0.000  0.000  0.000  0.04
N  0.500  0.500  0.500  1.85

=====

Compound: Os3NO
Source: the Alexandria database
Functional: PBE
Structure: relaxed

- ΔE to the lowest computed polymorph (eV per formula unit) = 0.00
- formation energy from raw total energies (eV/atom) = 1.48

Cell lengths 4.029, 4.029, 4.029 Å; angles 90.00, 90.00, 90.00 degrees
Each line ends with the local moment (μB).
Sites, in units of the cell vectors:
N  0.000  0.000  0.000  -0.02
Os  0.500  0.000  0.000  0.77
Os  0.000  0.500  0.000  0.93
Os  0.000  0.000  0.500  0.77
O  0.500  0.500  0.500  0.83

=====

Compound: OsN3O
Source: the Alexandria database
Functional: PBE
Structure: relaxed

- formation energy from raw total energies (eV/atom) = 2.69

Cell lengths 3.441, 3.441, 3.441 Å; angles 90.00, 90.00, 90.00 degrees
Sites, in units of the cell vectors:
O  0.000  0.000  0.000
N  0.500  0.000  0.000
N  0.000  0.000  0.500
N  0.000  0.500  0.000
Os  0.500  0.500  0.500

=====

Compound: OsN2O2
Source: the Alexandria database
Functional: PBE
Structure: relaxed

- ΔE to the lowest computed polymorph (eV per formula unit) = 0.00
- formation energy from raw total energies (eV/atom) = 0.96

Cell lengths 3.812, 3.812, 3.846 Å; angles 90.00, 90.00, 90.00 degrees
Each line ends with the local moment (μB).
Sites, in units of the cell vectors:
N  0.500  0.500  0.500  1.77
N  0.000  0.000  0.500  -0.22
O  0.500  0.000  0.000  0.07
O  0.000  0.500  0.000  0.07
Os  0.000  0.000  0.000  0.16

=====

Compound: P2OsNO
Source: the Alexandria database
Functional: PBE
Structure: relaxed

- ΔE to the lowest computed polymorph (eV per formula unit) = 0.00
- formation energy from raw total energies (eV/atom) = 1.11

Cell lengths 3.839, 3.839, 3.730 Å; angles 90.00, 90.00, 90.00 degrees
Sites, in units of the cell vectors:
O  0.000  0.000  0.500
Os  0.500  0.500  0.500
P  0.500  0.000  0.000
P  0.000  0.500  0.000
N  0.000  0.000  0.000

=====

Compound: POsN2O
Source: the Alexandria database
Functional: PBE
Structure: relaxed

- formation energy from raw total energies (eV/atom) = 0.97

Cell lengths 3.908, 3.908, 3.831 Å; angles 90.00, 90.00, 90.00 degrees
Each line ends with the local moment (μB).
Sites, in units of the cell vectors:
P  0.500  0.500  0.500  0.50
Os  0.000  0.000  0.000  0.45
O  0.000  0.000  0.500  0.07
N  0.000  0.500  0.000  -0.13
N  0.500  0.000  0.000  -0.13

=====

Number 1: volume 45.0 Å³ per cell. Number 2: volume 56.1 Å³ per cell. Number 3: volume 53.9 Å³ per cell. Number 4: volume 65.4 Å³ per cell. Number 5: volume 40.7 Å³ per cell. Number 6: volume 55.9 Å³ per cell. Number 7: volume 55.0 Å³ per cell. Number 8: volume 58.5 Å³ per cell.